# 1
{"formula": "Tl8SbPb2", "functional": "GGA-PBE", "state": "optimized geometry", "e_above_lowest_polymorph_ev_per_fu": 0.80, "sg": "C2/m (12)", "raw_formation_energy_ev_per_atom": 0.09, "cell": [[-2.2187, -1.1888, -5.7009], [0.4755, -8.5078, -0.6795], [-6.9173, -4.8149, 1.4276]], "species": ["Tl", "Tl", "Tl", "Tl", "Tl", "Tl", "Tl", "Tl", "Pb", "Pb", "Sb"], "frac_coords": [[0.3309, 0.3459, 0.3459], [0.2185, 0.3688, 0.7541], [0.2185, 0.7541, 0.3688], [0.0900, 0.7740, 0.7740], [0.7815, 0.2459, 0.6312], [0.7815, 0.6312, 0.2459], [0.9100, 0.2260, 0.2260], [0.6691, 0.6541, 0.6541], [0.4888, 0.1137, 0.1137], [0.5112, 0.8863, 0.8863], [0.0000, 0.0000, 0.0000]]}



# 2
{"formula": "TlSb2Pb4", "functional": "GGA-PBE", "state": "optimized geometry", "e_above_lowest_polymorph_ev_per_fu": 0.00, "sg": "P1 (1)", "raw_formation_energy_ev_per_atom": 0.03, "cell": [[8.9779, -0.9264, -0.0066], [-1.8711, 6.6001, -0.0333], [-3.4994, -2.7524, 7.7321]], "species": ["Pb", "Pb", "Pb", "Pb", "Pb", "Pb", "Pb", "Pb", "Sb", "Sb", "Sb", "Sb", "Tl", "Tl"], "frac_coords": [[0.4746, 0.1640, 0.9944], [0.3027, 0.1088, 0.2800], [0.7330, 0.9184, 0.5064], [0.4468, 0.6009, 0.6637], [0.9848, 0.2472, 0.3715], [0.2761, 0.5822, 0.2201], [0.0337, 0.6848, 0.8367], [0.8626, 0.6272, 0.1289], [0.7314, 0.4500, 0.4219], [0.6218, 0.2854, 0.6989], [0.5600, 0.7815, 0.0779], [0.1725, 0.3346, 0.7993], [0.8735, 0.0827, 0.9456], [0.1763, 0.8823, 0.5547]]}



# 3
{"formula": "Tl3Sb6Pb", "functional": "GGA-PBE", "state": "optimized geometry", "sg": "R-3c (167)", "raw_formation_energy_ev_per_atom": 0.10, "cell": [[8.7222, -0.0502, -1.1134], [-1.2582, 8.6311, -1.1134], [-0.0437, -0.0502, 8.7928]], "species": ["Sb", "Sb", "Sb", "Sb", "Sb", "Sb", "Sb", "Sb", "Sb", "Sb", "Sb", "Sb", "Tl", "Tl", "Tl", "Tl", "Tl", "Tl", "Pb", "Pb"], "frac_coords": [[0.6249, 0.9504, 0.9237], [0.4237, 0.4504, 0.1249], [0.5496, 0.8751, 0.5763], [0.9504, 0.9237, 0.6249], [0.3751, 0.0496, 0.0763], [0.0763, 0.3751, 0.0496], [0.9237, 0.6249, 0.9504], [0.1249, 0.4237, 0.4504], [0.4504, 0.1249, 0.4237], [0.5763, 0.5496, 0.8751], [0.0496, 0.0763, 0.3751], [0.8751, 0.5763, 0.5496], [0.2931, 0.2069, 0.7500], [0.2069, 0.7500, 0.2931], [0.7931, 0.2500, 0.7069], [0.2500, 0.7069, 0.7931], [0.7069, 0.7931, 0.2500], [0.7500, 0.2931, 0.2069], [0.0000, 0.0000, 0.0000], [0.5000, 0.5000, 0.5000]]}



# 4
{"formula": "Tl12SbPb2", "functional": "GGA-PBE", "state": "optimized geometry", "sg": "P4/nbm (125)", "raw_formation_energy_ev_per_atom": 0.11, "cell": [[6.6971, 0.0000, 0.0000], [0.0000, 6.6971, 0.0000], [0.0000, 0.0000, 22.6649]], "species": ["Tl", "Tl", "Tl", "Tl", "Tl", "Tl", "Tl", "Tl", "Tl", "Tl", "Tl", "Tl", "Tl", "Tl", "Tl", "Tl", "Tl", "Tl", "Tl", "Tl", "Tl", "Tl", "Tl", "Tl", "Pb", "Pb", "Pb", "Pb", "Sb", "Sb"], "frac_coords": [[0.2504, 0.7504, 0.9032], [0.6701, 0.1701, 0.4324], [0.7504, 0.7496, 0.9032], [0.5000, 0.5000, 0.7977], [0.6701, 0.8299, 0.5676], [0.3299, 0.8299, 0.4324], [0.2504, 0.2496, 0.0968], [0.1701, 0.6701, 0.5676], [0.5000, 0.5000, 0.2023], [0.2496, 0.2504, 0.9032], [0.5000, 0.5000, 0.3369], [0.0000, 0.0000, 0.6631], [0.0000, 0.0000, 0.3369], [0.3299, 0.1701, 0.5676], [0.8299, 0.6701, 0.4324], [0.7504, 0.2504, 0.0968], [0.0000, 0.0000, 0.7977], [0.7496, 0.2496, 0.9032], [0.0000, 0.0000, 0.2023], [0.2496, 0.7496, 0.0968], [0.5000, 0.5000, 0.6631], [0.7496, 0.7504, 0.0968], [0.1701, 0.3299, 0.4324], [0.8299, 0.3299, 0.5676], [0.0000, 0.5000, 0.2856], [0.0000, 0.5000, 0.7144], [0.5000, 0.0000, 0.2856], [0.5000, 0.0000, 0.7144], [0.5000, 0.0000, 0.0000], [0.0000, 0.5000, 0.0000]]}



# 5
{"formula": "Tl2Sb4Pb5", "functional": "GGA-PBE", "state": "optimized geometry", "sg": "C2/m (12)", "raw_formation_energy_ev_per_atom": 0.02, "cell": [[5.3568, -0.0001, -1.5621], [-0.1429, 6.6384, -0.4897], [-0.0344, 0.0131, 9.8479]], "species": ["Tl", "Tl", "Pb", "Pb", "Pb", "Pb", "Pb", "Sb", "Sb", "Sb", "Sb"], "frac_coords": [[0.4040, 0.5010, 0.8080], [0.5960, 0.4990, 0.1920], [0.1589, 0.7840, 0.3177], [0.7993, 0.7162, 0.5986], [0.2007, 0.2838, 0.4014], [0.8411, 0.2160, 0.6823], [0.5000, 0.0000, 0.0000], [0.6713, 0.0385, 0.3427], [0.3287, 0.9615, 0.6573], [0.0167, 0.2873, 0.0334], [0.9833, 0.7127, 0.9666]]}



# 6
{"formula": "Tl2Sb2Pb", "functional": "GGA-PBE", "state": "optimized geometry", "e_above_lowest_polymorph_ev_per_fu": 0.98, "sg": "P4/mbm (127)", "raw_formation_energy_ev_per_atom": 0.20, "cell": [[-5.5619, -0.2909, -6.7465], [-4.9572, -5.7592, 4.3350], [-2.0784, 2.9819, 1.5849]], "species": ["Pb", "Pb", "Sb", "Sb", "Sb", "Sb", "Tl", "Tl", "Tl", "Tl"], "frac_coords": [[0.0000, 0.0000, 0.0000], [0.5000, 0.5000, 0.0000], [0.1633, 0.6633, 0.5000], [0.6633, 0.8367, 0.5000], [0.8367, 0.3367, 0.5000], [0.3367, 0.1633, 0.5000], [0.6354, 0.1354, 0.0000], [0.3646, 0.8646, 0.0000], [0.8646, 0.6354, 0.0000], [0.1354, 0.3646, 0.0000]]}



# 7
{"formula": "Tl7Sb2Pb", "functional": "GGA-PBE", "state": "optimized geometry", "e_above_lowest_polymorph_ev_per_fu": 0.00, "sg": "I4/mmm (139)", "raw_formation_energy_ev_per_atom": 0.02, "cell": [[-5.0898, -1.6552, 0.0871], [1.6349, -5.0598, -0.6156], [2.3331, 2.1164, 12.0740]], "species": ["Sb", "Sb", "Tl", "Tl", "Tl", "Tl", "Tl", "Tl", "Tl", "Pb"], "frac_coords": [[0.6697, 0.6697, 0.3394], [0.3303, 0.3303, 0.6606], [0.5909, 0.0909, 0.1819], [0.7500, 0.2500, 0.5000], [0.5000, 0.5000, 0.0000], [0.4091, 0.9091, 0.8181], [0.0909, 0.5909, 0.1819], [0.9091, 0.4091, 0.8181], [0.2500, 0.7500, 0.5000], [0.0000, 0.0000, 0.0000]]}



# 8
{"formula": "Tl3SbPb6", "functional": "GGA-PBE", "state": "optimized geometry", "sg": "P-31m (162)", "raw_formation_energy_ev_per_atom": 0.07, "cell": [[-0.5834, -2.5228, -6.0853], [0.5200, -4.0328, 5.2156], [-8.6081, -0.0278, 0.8368]], "species": ["Pb", "Pb", "Pb", "Pb", "Pb", "Pb", "Tl", "Tl", "Tl", "Sb"], "frac_coords": [[0.5882, 0.0000, 0.1801], [0.5882, 0.5882, 0.8199], [0.0000, 0.4118, 0.8199], [0.0000, 0.5882, 0.1801], [0.4118, 0.4118, 0.1801], [0.4118, 0.0000, 0.8199], [0.3333, 0.6667, 0.5000], [0.0000, 0.0000, 0.5000], [0.6667, 0.3333, 0.5000], [0.0000, 0.0000, 0.0000]]}



# 9
{"formula": "Tl3Sb3Pb", "functional": "GGA-PBE", "state": "optimized geometry", "sg": "R-3 (148)", "raw_formation_energy_ev_per_atom": 0.08, "cell": [[7.7294, 0.1331, 3.4908], [2.3060, 7.3786, 3.4908], [0.1778, 0.1331, 8.4793]], "species": ["Pb", "Pb", "Sb", "Sb", "Sb", "Sb", "Sb", "Sb", "Tl", "Tl", "Tl", "Tl", "Tl", "Tl"], "frac_coords": [[0.6616, 0.6616, 0.6616], [0.3384, 0.3384, 0.3384], [0.2877, 0.7583, 0.0899], [0.9101, 0.7123, 0.2417], [0.7123, 0.2417, 0.9101], [0.0899, 0.2877, 0.7583], [0.7583, 0.0899, 0.2877], [0.2417, 0.9101, 0.7123], [0.2504, 0.4608, 0.9339], [0.0661, 0.7496, 0.5392], [0.7496, 0.5392, 0.0661], [0.5392, 0.0661, 0.7496], [0.9339, 0.2504, 0.4608], [0.4608, 0.9339, 0.2504]]}



# 10
{"formula": "Tl7Sb2Pb", "functional": "GGA-PBE", "state": "optimized geometry", "e_above_lowest_polymorph_ev_per_fu": 1.31, "sg": "Cmmm (65)", "raw_formation_energy_ev_per_atom": 0.15, "cell": [[5.3727, 0.0000, 0.0000], [0.0000, 9.1660, -0.2995], [0.0000, -4.3123, 8.0937]], "species": ["Sb", "Sb", "Tl", "Tl", "Tl", "Tl", "Tl", "Tl", "Tl", "Pb"], "frac_coords": [[0.5000, 0.2984, 0.7016], [0.5000, 0.7016, 0.2984], [0.5000, 0.0726, 0.2978], [0.5000, 0.5000, 0.5000], [0.5000, 0.2978, 0.0726], [0.0000, 0.7922, 0.2078], [0.5000, 0.7022, 0.9274], [0.0000, 0.2078, 0.7922], [0.5000, 0.9274, 0.7022], [0.0000, 0.0000, 0.0000]]}



# 11
{"formula": "Tl12Sb5Pb3", "functional": "GGA-PBE", "state": "optimized geometry", "sg": "Ia-3d (230)", "raw_formation_energy_ev_per_atom": 0.17, "cell": [[15.7822, 0.0000, 0.0000], [-5.2607, 14.8796, 0.0000], [-5.2607, -7.4398, 12.8861]], "species": ["Pb", "Pb", "Pb", "Pb", "Pb", "Pb", "Pb", "Pb", "Pb", "Pb", "Pb", "Pb", "Tl", "Tl", "Tl", "Tl", "Tl", "Tl", "Tl", "Tl", "Tl", "Tl", "Tl", "Tl", "Tl", "Tl", "Tl", "Tl", "Tl", "Tl", "Tl", "Tl", "Tl", "Tl", "Tl", "Tl", "Tl", "Tl", "Tl", "Tl", "Tl", "Tl", "Tl", "Tl", "Tl", "Tl", "Tl", "Tl", "Tl", "Tl", "Tl", "Tl", "Tl", "Tl", "Tl", "Tl", "Tl", "Tl", "Tl", "Tl", "Sb", "Sb", "Sb", "Sb", "Sb", "Sb", "Sb", "Sb", "Sb", "Sb", "Sb", "Sb", "Sb", "Sb", "Sb", "Sb", "Sb", "Sb", "Sb", "Sb"], "frac_coords": [[0.6250, 0.2500, 0.3750], [0.7500, 0.8750, 0.6250], [0.8750, 0.7500, 0.1250], [0.6250, 0.3750, 0.7500], [0.3750, 0.7500, 0.6250], [0.3750, 0.6250, 0.2500], [0.1250, 0.8750, 0.7500], [0.2500, 0.6250, 0.8750], [0.7500, 0.3750, 0.1250], [0.8750, 0.1250, 0.2500], [0.2500, 0.1250, 0.3750], [0.1250, 0.2500, 0.8750], [0.4428, 0.6711, 0.0757], [0.4428, 0.7717, 0.8671], [0.7283, 0.1329, 0.0572], [0.2717, 0.4046, 0.8289], [0.9046, 0.0757, 0.6329], [0.9046, 0.8289, 0.7717], [0.5757, 0.9428, 0.6711], [0.0757, 0.9046, 0.1329], [0.2283, 0.5572, 0.6329], [0.4243, 0.3671, 0.5954], [0.7717, 0.3289, 0.9046], [0.3671, 0.9428, 0.7717], [0.0757, 0.1711, 0.4428], [0.4046, 0.2717, 0.3289], [0.5572, 0.3289, 0.9243], [0.4243, 0.0572, 0.3289], [0.5954, 0.8671, 0.4243], [0.0954, 0.1711, 0.2283], [0.8289, 0.9046, 0.2717], [0.5757, 0.6329, 0.4046], [0.2717, 0.8671, 0.9428], [0.9428, 0.5757, 0.1711], [0.6329, 0.0572, 0.2283], [0.2283, 0.6711, 0.0954], [0.0572, 0.6329, 0.7283], [0.6329, 0.5757, 0.9046], [0.9243, 0.8289, 0.5572], [0.8671, 0.5954, 0.9243], [0.0572, 0.4243, 0.8289], [0.9243, 0.0954, 0.8671], [0.1711, 0.0757, 0.9428], [0.5572, 0.2283, 0.1329], [0.8289, 0.9243, 0.0572], [0.5954, 0.7283, 0.6711], [0.3289, 0.7717, 0.4046], [0.8671, 0.2717, 0.4428], [0.4046, 0.1329, 0.5757], [0.0954, 0.9243, 0.3671], [0.6711, 0.2283, 0.5954], [0.7283, 0.5954, 0.1711], [0.7717, 0.4428, 0.3671], [0.9428, 0.3671, 0.2717], [0.1329, 0.7283, 0.5572], [0.1329, 0.4046, 0.0757], [0.3289, 0.5572, 0.4243], [0.3671, 0.4243, 0.0954], [0.1711, 0.0954, 0.7283], [0.6711, 0.4428, 0.5757], [0.7500, 0.1250, 0.8750], [0.3750, 0.2500, 0.1250], [0.8750, 0.6250, 0.7500], [0.3750, 0.1250, 0.7500], [0.0000, 0.5000, 0.0000], [0.5000, 0.0000, 0.0000], [0.0000, 0.5000, 0.5000], [0.0000, 0.0000, 0.5000], [0.7500, 0.6250, 0.3750], [0.6250, 0.7500, 0.8750], [0.2500, 0.3750, 0.6250], [0.1250, 0.3750, 0.2500], [0.8750, 0.2500, 0.6250], [0.5000, 0.5000, 0.0000], [0.5000, 0.0000, 0.5000], [0.1250, 0.7500, 0.3750], [0.0000, 0.0000, 0.0000], [0.5000, 0.5000, 0.5000], [0.2500, 0.8750, 0.1250], [0.6250, 0.8750, 0.2500]]}



# 12
{"formula": "Tl6SbPb", "functional": "GGA-PBE", "state": "optimized geometry", "e_above_lowest_polymorph_ev_per_fu": 0.02, "sg": "Cmmm (65)", "raw_formation_energy_ev_per_atom": 0.01, "cell": [[-4.2488, -1.8516, -1.7684], [-2.1342, -1.3869, 6.5799], [-3.1045, 6.2722, 0.8918]], "species": ["Sb", "Tl", "Tl", "Tl", "Tl", "Tl", "Tl", "Pb"], "frac_coords": [[0.5000, 0.0000, 0.0000], [0.0000, 0.2518, 0.7482], [0.0000, 0.2397, 0.2397], [0.5000, 0.5000, 0.0000], [0.0000, 0.7603, 0.7603], [0.0000, 0.7482, 0.2518], [0.5000, 0.0000, 0.5000], [0.5000, 0.5000, 0.5000]]}



# 13
{"formula": "Tl2Sb2Pb", "functional": "GGA-PBE", "state": "optimized geometry", "e_above_lowest_polymorph_ev_per_fu": 0.00, "sg": "C2/m (12)", "raw_formation_energy_ev_per_atom": 0.00, "cell": [[-2.4742, 4.2661, -2.4239], [-5.9420, 1.7268, 2.8755], [4.5461, 8.3285, 3.7890]], "species": ["Tl", "Tl", "Tl", "Tl", "Sb", "Sb", "Sb", "Sb", "Pb", "Pb"], "frac_coords": [[0.1005, 0.7241, 0.0750], [0.8995, 0.2759, 0.9250], [0.6800, 0.3253, 0.3146], [0.3200, 0.6747, 0.6854], [0.3515, 0.1943, 0.1026], [0.9539, 0.6787, 0.4136], [0.6485, 0.8057, 0.8974], [0.0461, 0.3213, 0.5864], [0.6387, 0.0736, 0.6489], [0.3613, 0.9264, 0.3511]]}



# 14
{"formula": "Tl2Sb2Pb5", "functional": "GGA-PBE", "state": "optimized geometry", "e_above_lowest_polymorph_ev_per_fu": 0.00, "sg": "C2/m (12)", "raw_formation_energy_ev_per_atom": 0.06, "cell": [[-4.0710, -0.1417, -4.1116], [3.2178, -4.5087, -3.0306], [-2.8119, -3.7848, 6.9884]], "species": ["Sb", "Sb", "Pb", "Pb", "Pb", "Pb", "Pb", "Tl", "Tl"], "frac_coords": [[0.2280, 0.0799, 0.4560], [0.7720, 0.9201, 0.5440], [0.4433, 0.2241, 0.8867], [0.8906, 0.4381, 0.7811], [0.0000, 0.0000, 0.0000], [0.1094, 0.5619, 0.2189], [0.5567, 0.7759, 0.1133], [0.3288, 0.6493, 0.6577], [0.6712, 0.3507, 0.3423]]}



# 15
{"formula": "Tl4SbPb2", "functional": "GGA-PBE", "state": "optimized geometry", "e_above_lowest_polymorph_ev_per_fu": 0.00, "sg": "Cmmm (65)", "raw_formation_energy_ev_per_atom": 0.04, "cell": [[-1.3191, -2.5402, -3.7249], [6.0053, 1.7006, -3.2864], [3.6481, -5.5106, 2.4660]], "species": ["Tl", "Tl", "Tl", "Tl", "Sb", "Pb", "Pb"], "frac_coords": [[0.0000, 0.5000, 0.0000], [0.0000, 0.0000, 0.5000], [0.5000, 0.2893, 0.7107], [0.5000, 0.7107, 0.2893], [0.0000, 0.0000, 0.0000], [0.5000, 0.2248, 0.2248], [0.5000, 0.7752, 0.7752]]}



# 16
{"formula": "Tl5SbPb", "functional": "GGA-PBE", "state": "optimized geometry", "e_above_lowest_polymorph_ev_per_fu": 0.00, "sg": "Imma (74)", "raw_formation_energy_ev_per_atom": 0.04, "cell": [[-0.5041, 0.0460, 8.4691], [6.9408, 3.7571, -3.1132], [-0.6126, 7.9053, 3.0189]], "species": ["Tl", "Tl", "Tl", "Tl", "Tl", "Tl", "Tl", "Tl", "Tl", "Tl", "Pb", "Pb", "Sb", "Sb"], "frac_coords": [[0.7587, 0.5000, 0.2414], [0.2413, 0.5000, 0.7586], [0.4559, 0.7089, 0.2470], [0.7413, 0.0000, 0.7587], [0.2500, 0.2331, 0.5169], [0.2587, 0.0000, 0.2413], [0.9559, 0.7030, 0.7530], [0.5441, 0.2911, 0.7530], [0.7500, 0.7669, 0.4831], [0.0441, 0.2970, 0.2470], [0.5000, 0.0000, 0.5000], [0.0000, 0.0000, 0.0000], [0.7500, 0.2301, 0.0199], [0.2500, 0.7699, 0.9801]]}



# 17
{"formula": "TlSbPb6", "functional": "GGA-PBE", "state": "optimized geometry", "e_above_lowest_polymorph_ev_per_fu": 0.00, "sg": "Cmmm (65)", "raw_formation_energy_ev_per_atom": 0.03, "cell": [[-2.4771, -2.4810, -4.8172], [5.8337, -3.4524, -1.2216], [-4.7210, -3.0367, 3.9917]], "species": ["Pb", "Pb", "Pb", "Pb", "Pb", "Pb", "Sb", "Tl"], "frac_coords": [[0.0000, 0.7362, 0.2638], [0.0000, 0.2316, 0.2316], [0.0000, 0.2638, 0.7362], [0.5000, 0.0000, 0.5000], [0.5000, 0.5000, 0.0000], [0.0000, 0.7684, 0.7684], [0.5000, 0.0000, 0.0000], [0.5000, 0.5000, 0.5000]]}



# 18
{"formula": "TlSb3Pb4", "functional": "GGA-PBE", "state": "optimized geometry", "sg": "C2/m (12)", "raw_formation_energy_ev_per_atom": 0.02, "cell": [[-1.2130, -0.2501, 4.3868], [4.6950, -4.2472, 3.4243], [7.0552, 4.6723, 4.5853]], "species": ["Pb", "Pb", "Pb", "Pb", "Sb", "Sb", "Sb", "Tl"], "frac_coords": [[0.6641, 0.5084, 0.1634], [0.8633, 0.8355, 0.4380], [0.1367, 0.1645, 0.5620], [0.3359, 0.4916, 0.8366], [0.3068, 0.1779, 0.2085], [0.6932, 0.8221, 0.7915], [0.5000, 0.5000, 0.5000], [0.0000, 0.0000, 0.0000]]}